6
Lattice="-1.674 -3.501 2.880 -0.879 2.477 4.055 -1.405 -0.471 -4.600" Properties=species:S:1:pos:R:3 comment="NbCdB4, optimized geometry, DFT PBE" e_tot_ev_per_cell=-37.50 spacegroup=Immm total_magnetization_mub_per_cell=0.04 de_polymorph_kcal_per_mol_atoms=3.07 crystal_system=orthorhombic pbc="T T T"
B -2.704 -2.908 0.626
B -2.278 0.092 1.137
B -1.680 -1.587 1.198
B -1.254 1.414 1.710
Nb 0.000 0.000 0.000
Cd -1.277 -0.512 3.467


3
Lattice="0.000 2.986 2.986 2.986 0.000 2.986 2.986 2.986 0.000" Properties=species:S:1:pos:R:3 comment="NbCdB, optimized geometry, DFT PBE" e_tot_ev_per_cell=-12.73 spacegroup=F-43m total_magnetization_mub_per_cell=0.39 de_polymorph_kcal_per_mol_atoms=8.22 crystal_system=cubic pbc="T T T"
B 1.493 1.493 1.493
Cd 0.000 0.000 0.000
Nb 4.480 4.480 4.480